1.
5
Lattice="4.812 0.000 0.000 0.000 4.812 0.000 0.000 0.000 4.812" Properties=species:S:1:pos:R:3 comment="PBE SbPbF3, relaxed" formation_energy_uncorrected_mev_per_atom=-1313 density_kg_m3=5753 polymorph_energy_mev_per_atom=80.0 pbc="T T T"
Sb 0.000 0.000 0.000
Pb 2.406 2.406 2.406
F 0.000 2.406 2.406
F 2.406 0.000 2.406
F 2.406 2.406 0.000

2.
8
Lattice="-3.534 3.534 3.256 3.534 -3.534 3.256 3.534 3.534 -3.256" Properties=species:S:1:pos:R:3 comment="PBE SbPbF2, relaxed" formation_energy_uncorrected_mev_per_atom=-1169 density_kg_m3=7491 polymorph_energy_mev_per_atom=250.7 pbc="T T T"
Sb 0.000 0.000 0.000
Sb 0.000 3.534 1.628
Pb 3.534 0.000 1.628
Pb 0.000 0.000 3.256
F 1.767 -1.695 2.442
F 1.839 1.767 0.814
F 1.767 5.230 -0.814
F 1.695 1.767 4.070

3.
4
Lattice="2.228 1.286 6.222 -2.228 1.286 6.222 0.000 -2.573 6.222" Properties=species:S:1:pos:R:3 comment="PBE SbPb2F, relaxed" formation_energy_uncorrected_mev_per_atom=-775 density_kg_m3=8617 polymorph_energy_mev_per_atom=0.0 pbc="T T T"
Sb 0.000 0.000 0.000
Pb 0.000 0.000 4.447
Pb 0.000 0.000 14.219
F 0.000 0.000 9.333

4.
6
Lattice="2.051 1.184 10.468 -2.051 1.184 10.468 0.000 -2.368 10.468" Properties=species:S:1:pos:R:3 comment="PBE SbPbF, relaxed" formation_energy_uncorrected_mev_per_atom=-968 density_kg_m3=7579 pbc="T T T"
Sb 0.000 0.000 4.326
Sb 0.000 0.000 27.078
Pb 0.000 0.000 12.290
Pb 0.000 0.000 19.114
F 0.000 0.000 9.624
F 0.000 0.000 21.780

Which formula does entry 1 have?
SbPbF3